# ZrNpMn4, relaxed, DFT GGA-PBE
data_ZrNpMn4
_cell_length_a 4.988
_cell_length_b 4.988
_cell_length_c 4.988
_cell_angle_alpha 60.00
_cell_angle_beta 60.00
_cell_angle_gamma 60.00
_symmetry_space_group_name_H-M 'P 1'
_symmetry_Int_Tables_number 1
loop_
_symmetry_equiv_pos_as_xyz
'x,y,z'
loop_
_atom_site_label
_atom_site_type_symbol
_atom_site_fract_x
_atom_site_fract_y
_atom_site_fract_z
_atom_site_occupancy
Zr1 Zr 0.000 0.000 0.000 1
Np1 Np 0.250 0.250 0.250 1
Mn1 Mn 0.125 0.625 0.625 1
Mn2 Mn 0.625 0.125 0.625 1
Mn3 Mn 0.625 0.625 0.125 1
Mn4 Mn 0.625 0.625 0.625 1
# * SG: F-43m, No. 216
# * ΔE_f: 0.108 eV/atom